DFT (PBE+U) results for a relaxed La2CdCoAs2O2 crystal.

Cell and atoms, written as POSCAR:
```
La2CdCoAs2O2
1.0
4.1610 0.0000 0.0000
0.0000 4.1610 0.0000
0.0000 0.0000 9.1070
As Cd Co La O
2 1 1 2 2
Direct
0.0000 0.5000 0.1815
0.5000 0.0000 0.8185
0.5000 0.5000 0.0000
0.0000 0.0000 0.0000
0.5000 0.0000 0.3706
0.0000 0.5000 0.6294
0.0000 0.0000 0.5000
0.5000 0.5000 0.5000
```

Values from the calculation:
Final energy: -0.44745 Ry/atom
Space group: P-4m2 (115)
Spin magnetization: 0.35 μB per atom